Density functional theory data (PBE with a Hubbard U) for a relaxed structure of Ca2VGeO6.

Lattice parameters (Å, degrees): 3.813 5.401 5.401 90.00 90.00 90.00
Site moments in Bohr magnetons follow the coordinates.
Element x y z (fractional)
Ge 0.645 0.000 0.000  0.00
O 0.645 0.754 0.754  0.00
O 0.145 0.000 0.000  -0.01
O 0.645 0.246 0.754  0.00
O 0.645 0.754 0.246  0.00
O 0.145 0.500 0.500  -0.10
O 0.645 0.246 0.246  0.00
V 0.645 0.500 0.500  1.06
Ca 0.144 0.000 0.500  0.00
Ca 0.144 0.500 0.000  0.00

## Properties
- Density of states at the Fermi level: 0.79 states/eV per cell
- Size of the total moment: 1.00 μB/f.u.
- Space-group type: P4/mmm (123)
- Raw total energy: -6.87 eV/atom